[1]
# PrY12Er6, relaxed, DFT PBE
# SG = No. 148
# Energy of formation = 2.883 eV/f.u.
# ΔE to the lowest computed polymorph = 126 meV per atom
data_PrY12Er6
_chemical_formula_sum 'Pr1 Y12 Er6'
_cell_length_a 8.5459
_cell_length_b 8.5459
_cell_length_c 8.5459
_cell_angle_alpha 88.02
_cell_angle_beta 88.02
_cell_angle_gamma 88.02
_space_group_name_H-M_alt 'P 1'
_space_group_IT_number 1
_space_group_name_Hall 'P 1'
loop_
_atom_site_label
_atom_site_type_symbol
_atom_site_fract_x
_atom_site_fract_y
_atom_site_fract_z
Pr1 Pr 0.0000 0.0000 0.0000
Y1 Y 0.7757 0.5439 0.4354
Y2 Y 0.4354 0.7757 0.5439
Y3 Y 0.5439 0.4354 0.7757
Y4 Y 0.2243 0.4561 0.5646
Y5 Y 0.5646 0.2243 0.4561
Y6 Y 0.4561 0.5646 0.2243
Y7 Y 0.0088 0.2055 0.3585
Y8 Y 0.7945 0.6415 0.9912
Y9 Y 0.6415 0.9912 0.7945
Y10 Y 0.9912 0.7945 0.6415
Y11 Y 0.2055 0.3585 0.0088
Y12 Y 0.3585 0.0088 0.2055
Er1 Er 0.7444 0.9071 0.3101
Er2 Er 0.6899 0.2556 0.0929
Er3 Er 0.0929 0.6899 0.2556
Er4 Er 0.2556 0.0929 0.6899
Er5 Er 0.3101 0.7444 0.9071
Er6 Er 0.9071 0.3101 0.7444


[2]
# Pr3Nd8, relaxed, DFT PBE
# SG = No. 148
# Energy of formation = 4.797 eV/f.u.
# ΔE to the lowest computed polymorph = 424 meV per atom
data_Pr3Nd8
_chemical_formula_sum 'Pr3 Nd8'
_cell_length_a 7.3466
_cell_length_b 7.3466
_cell_length_c 7.3466
_cell_angle_alpha 85.94
_cell_angle_beta 85.94
_cell_angle_gamma 85.94
_space_group_name_H-M_alt 'P 1'
_space_group_IT_number 1
_space_group_name_Hall 'P 1'
loop_
_atom_site_label
_atom_site_type_symbol
_atom_site_fract_x
_atom_site_fract_y
_atom_site_fract_z
Pr1 Pr 0.5000 0.0000 0.5000
Pr2 Pr 0.0000 0.5000 0.5000
Pr3 Pr 0.5000 0.5000 0.0000
Nd1 Nd 0.8901 0.3061 0.1448
Nd2 Nd 0.3061 0.1448 0.8901
Nd3 Nd 0.1448 0.8901 0.3061
Nd4 Nd 0.3785 0.3785 0.3785
Nd5 Nd 0.6215 0.6215 0.6215
Nd6 Nd 0.8552 0.1099 0.6939
Nd7 Nd 0.6939 0.8552 0.1099
Nd8 Nd 0.1099 0.6939 0.8552


[3]
# CsAcNb2O7, relaxed, DFT PBE
# SG = No. 123
# Energy relative to the elements, uncorrected = -2.777 eV per atom
data_CsAcNb2O7
_chemical_formula_sum 'Cs1 Ac1 Nb2 O7'
_cell_length_a 3.9718
_cell_length_b 3.9718
_cell_length_c 11.6236
_cell_angle_alpha 90.00
_cell_angle_beta 90.00
_cell_angle_gamma 90.00
_space_group_name_H-M_alt 'P 1'
_space_group_IT_number 1
_space_group_name_Hall 'P 1'
loop_
_atom_site_label
_atom_site_type_symbol
_atom_site_fract_x
_atom_site_fract_y
_atom_site_fract_z
Cs1 Cs 0.0000 0.0000 0.5000
Ac1 Ac 0.0000 0.0000 0.0000
Nb1 Nb 0.5000 0.5000 0.2018
Nb2 Nb 0.5000 0.5000 0.7982
O1 O 0.5000 0.5000 0.6430
O2 O 0.0000 0.5000 0.1662
O3 O 0.5000 0.0000 0.1662
O4 O 0.0000 0.5000 0.8338
O5 O 0.5000 0.0000 0.8338
O6 O 0.5000 0.5000 0.3570
O7 O 0.5000 0.5000 0.0000


[4]
# CaCdN2, relaxed, DFT PBE
# SG = No. 122
# Energy relative to the elements, uncorrected = 0.481 eV per atom
data_CaCdN2
_chemical_formula_sum 'Ca2 Cd2 N4'
_cell_length_a 4.8625
_cell_length_b 4.8625
_cell_length_c 7.0043
_cell_angle_alpha 69.69
_cell_angle_beta 69.69
_cell_angle_gamma 90.00
_space_group_name_H-M_alt 'P 1'
_space_group_IT_number 1
_space_group_name_Hall 'P 1'
loop_
_atom_site_label
_atom_site_type_symbol
_atom_site_fract_x
_atom_site_fract_y
_atom_site_fract_z
Ca1 Ca 0.5000 0.5000 0.0000
Ca2 Ca 0.2500 0.7500 0.5000
N1 N 0.6532 0.1250 0.2500
N2 N 0.0968 0.6250 0.2500
N3 N 0.3750 0.3468 0.7500
N4 N 0.8750 0.9032 0.7500
Cd1 Cd 0.0000 0.0000 0.0000
Cd2 Cd 0.7500 0.2500 0.5000


[5]
# TaHgW2, relaxed, DFT PBE
# SG = No. 10
# Energy of formation = 1.838 eV/f.u.
data_TaHgW2
_chemical_formula_sum 'Ta1 Hg1 W2'
_cell_length_a 4.7059
_cell_length_b 2.7955
_cell_length_c 5.4615
_cell_angle_alpha 81.43
_cell_angle_beta 90.00
_cell_angle_gamma 90.00
_space_group_name_H-M_alt 'P 1'
_space_group_IT_number 1
_space_group_name_Hall 'P 1'
loop_
_atom_site_label
_atom_site_type_symbol
_atom_site_fract_x
_atom_site_fract_y
_atom_site_fract_z
Hg1 Hg 0.5000 0.2500 0.2500
Ta1 Ta 0.5000 0.7500 0.7500
W1 W 0.0000 0.0275 0.9799
W2 W 0.0000 0.4725 0.5201


[6]
# SiHg3S2F6, relaxed, DFT PBE
# SG = No. 164
# Energy relative to the elements, uncorrected = -1.788 eV per atom
data_SiHg3S2F6
_chemical_formula_sum 'Si1 Hg3 S2 F6'
_cell_length_a 7.3925
_cell_length_b 7.3925
_cell_length_c 4.9192
_cell_angle_alpha 90.00
_cell_angle_beta 90.00
_cell_angle_gamma 120.00
_space_group_name_H-M_alt 'P 1'
_space_group_IT_number 1
_space_group_name_Hall 'P 1'
loop_
_atom_site_label
_atom_site_type_symbol
_atom_site_fract_x
_atom_site_fract_y
_atom_site_fract_z
S1 S 0.3333 0.6667 0.2150
S2 S 0.6667 0.3333 0.7850
Si1 Si 0.0000 0.0000 0.5000
Hg1 Hg 0.5000 0.0000 0.0000
Hg2 Hg 0.0000 0.5000 0.0000
Hg3 Hg 0.5000 0.5000 0.0000
F1 F 0.1104 0.8896 0.2992
F2 F 0.8896 0.1104 0.7008
F3 F 0.1104 0.2208 0.2992
F4 F 0.8896 0.7792 0.7008
F5 F 0.2208 0.1104 0.7008
F6 F 0.7792 0.8896 0.2992


[7]
# Pm7YIn2, relaxed, DFT PBE
# SG = No. 65
# Energy of formation = 3.215 eV/f.u.
data_Pm7YIn2
_chemical_formula_sum 'Pm7 Y1 In2'
_cell_length_a 5.4188
_cell_length_b 9.2434
_cell_length_c 9.2434
_cell_angle_alpha 119.54
_cell_angle_beta 90.00
_cell_angle_gamma 90.00
_space_group_name_H-M_alt 'P 1'
_space_group_IT_number 1
_space_group_name_Hall 'P 1'
loop_
_atom_site_label
_atom_site_type_symbol
_atom_site_fract_x
_atom_site_fract_y
_atom_site_fract_z
Pm1 Pm 0.0000 0.7754 0.2246
Pm2 Pm 0.0000 0.2246 0.7754
Pm3 Pm 0.5000 0.0606 0.3022
Pm4 Pm 0.5000 0.9394 0.6978
Pm5 Pm 0.5000 0.3022 0.0606
Pm6 Pm 0.5000 0.6978 0.9394
Pm7 Pm 0.5000 0.5000 0.5000
Y1 Y 0.0000 0.0000 0.0000
In1 In 0.5000 0.6952 0.3048
In2 In 0.5000 0.3048 0.6952


Number 1: uncorrected energy -5.6233 eV/atom, magnetic moment 0.0 μB/cell. Number 2: uncorrected energy -4.3349 eV/atom, magnetic moment 0.0 μB/cell. Number 3: uncorrected energy -8.2146 eV/atom, magnetic moment 0.0 μB/cell. Number 4: uncorrected energy -4.4109 eV/atom, magnetic moment 4.0 μB/cell. Number 5: uncorrected energy -9.0558 eV/atom, magnetic moment 0.0 μB/cell. Number 6: uncorrected energy -3.9392 eV/atom, magnetic moment 0.0 μB/cell. Number 7: uncorrected energy -4.1980 eV/atom, magnetic moment 0.0 μB/cell.